A plane-wave DFT calculation with GGA-PBE was carried out for a geometry-optimized LiTaClF2 structure.

Cell: 3.722 4.683 3.722 Å, 90.00 90.00 90.00°
Site moments in Bohr magnetons follow the coordinates.
Atoms (fractional coordinates):
F 0.000 0.000 0.500  0.02
Ta 0.500 0.500 0.500  1.77
Li 0.000 0.000 0.000  0.00
F 0.500 0.000 0.000  0.03
Cl 0.000 0.500 0.000  -0.01

Formation energy from raw total energies (eV/atom): -1.060
Space-group type: P4/mmm (123)
Energy (Ha/atom): -0.181

=====

A plane-wave DFT calculation with GGA-PBE was carried out for a geometry-optimized HfBe2Nb structure.

Cell: 6.844 6.844 5.497 Å, 51.50 51.50 90.00°
Atoms (fractional coordinates):
Be 0.375 0.387 0.750
Be 0.137 0.625 0.250
Nb 0.500 0.500 0.000
Hf 0.000 0.000 0.000
Be 0.613 0.125 0.250
Nb 0.250 0.750 0.500
Be 0.875 0.863 0.750
Hf 0.750 0.250 0.500

Offset from the most stable computed form (meV/atom): 430
Formation energy (eV/atom): 0.4084
Space-group type: I-42d (122)
Energy (Ha/atom): -0.237

=====

A plane-wave DFT calculation with GGA-PBE was carried out for a geometry-optimized YMg2Co2 structure.

Cell: 4.501 4.501 5.547 Å, 66.06 66.06 90.00°
Atoms (fractional coordinates):
Mg 0.353 0.353 0.295
Co 0.750 0.250 0.500
Y 0.000 0.000 0.000
Mg 0.647 0.647 0.705
Co 0.250 0.750 0.500

Offset from the most stable computed form (meV/atom): 206
Formation energy (eV/atom): 0.2388
Space-group type: I4/mmm (139)
Energy (Ha/atom): -0.167

=====

A plane-wave DFT calculation with GGA-PBE was carried out for a geometry-optimized Ac2LaDyHo structure.

Cell: 6.687 9.049 6.490 Å, 89.99 90.00 90.00°
Atoms (fractional coordinates):
La 0.575 0.000 0.250
Ho 0.000 0.000 0.000
Ho 0.000 0.000 0.500
Ac 0.716 0.298 0.750
Ac 0.716 0.702 0.750
Ac 0.284 0.298 0.250
Dy 0.810 0.500 0.250
Ac 0.284 0.702 0.250
La 0.425 0.000 0.750
Dy 0.190 0.500 0.750

Formation energy (eV/atom): 0.2619
Space-group type: Pmma (51)
Energy (Ha/atom): -0.154

=====

A plane-wave DFT calculation with GGA-PBE was carried out for a geometry-optimized Hf3CuO structure.

Cell: 4.353 4.353 4.353 Å, 90.00 90.00 90.00°
Atoms (fractional coordinates):
Hf 0.000 0.500 0.000
Cu 0.500 0.500 0.500
Hf 0.000 0.000 0.500
Hf 0.500 0.000 0.000
O 0.000 0.000 0.000

Formation energy from raw total energies (eV/atom): -0.913
Space-group type: Pm-3m (221)
Energy (Ha/atom): -0.320

=====

A plane-wave DFT calculation with GGA-PBE was carried out for a geometry-optimized Tb2YCu structure.

Cell: 3.519 3.519 8.671 Å, 90.00 90.00 90.00°
Atoms (fractional coordinates):
Y 0.500 0.500 0.500
Tb 0.000 0.000 0.803
Tb 0.000 0.000 0.197
Cu 0.500 0.500 0.000

Offset from the most stable computed form (meV/atom): 14
Formation energy (eV/atom): -0.0907
Space-group type: P4/mmm (123)
Energy (Ha/atom): -0.185

=====

A plane-wave DFT calculation with GGA-PBE was carried out for a geometry-optimized LiYFe2 structure.

Cell: 3.927 3.017 5.987 Å, 72.21 90.00 90.00°
Site moments in Bohr magnetons follow the coordinates.
Atoms (fractional coordinates):
Y 0.500 0.760 0.780  -0.27
Li 0.000 0.487 0.434  -0.05
Fe 0.000 0.077 0.043  2.16
Fe 0.500 0.176 0.242  2.40

Offset from the most stable computed form (meV/atom): 167
Formation energy (eV/atom): 0.3131
Space-group type: Pm (6)
Energy (Ha/atom): -0.221

=====

A plane-wave DFT calculation with GGA-PBE was carried out for a geometry-optimized Y2Co2Ag structure.

Cell: 7.059 7.059 3.849 Å, 90.00 90.00 90.00°
Atoms (fractional coordinates):
Ag 0.000 0.000 0.000
Co 0.614 0.114 0.000
Co 0.386 0.886 0.000
Y 0.821 0.321 0.500
Y 0.179 0.679 0.500
Y 0.679 0.821 0.500
Co 0.114 0.386 0.000
Y 0.321 0.179 0.500
Co 0.886 0.614 0.000
Ag 0.500 0.500 0.000

Offset from the most stable computed form (meV/atom): 65
Formation energy (eV/atom): -0.1644
Space-group type: P4/mbm (127)
Energy (Ha/atom): -0.226

=====

A plane-wave DFT calculation with GGA-PBE was carried out for a geometry-optimized CsAgTe structure.

Cell: 4.186 4.261 6.657 Å, 108.15 90.11 89.99°
Atoms (fractional coordinates):
Cs 0.833 0.260 0.811
Te 0.332 0.005 0.296
Ag 0.832 0.525 0.334

Formation energy from raw total energies (eV/atom): -0.389
Space-group type: P1 (1)
Energy (Ha/atom): -0.098

=====

A plane-wave DFT calculation with GGA-PBE was carried out for a geometry-optimized IrPt2 structure.

Cell: 12.697 12.697 12.697 Å, 167.58 167.58 17.60°
Atoms (fractional coordinates):
Pt 0.328 0.828 0.500
Ir 0.000 0.000 0.000
Pt 0.422 0.422 0.000
Pt 0.172 0.672 0.500
Pt 0.578 0.578 0.000
Ir 0.750 0.250 0.500

Offset from the most stable computed form (meV/atom): 97
Formation energy (eV/atom): 0.1374
Space-group type: I4_1/amd (141)
Energy (Ha/atom): -0.251

=====

A plane-wave DFT calculation with GGA-PBE was carried out for a geometry-optimized Ta2TiNb2 structure.

Cell: 7.427 7.427 3.487 Å, 90.00 90.00 90.00°
Site moments in Bohr magnetons follow the coordinates.
Atoms (fractional coordinates):
Ta 0.357 0.857 0.000  0.08
Ta 0.643 0.143 0.000  0.08
Ti 0.000 0.000 0.000  0.80
Ta 0.857 0.643 0.000  0.08
Nb 0.655 0.845 0.500  -0.04
Ta 0.143 0.357 0.000  0.08
Ti 0.500 0.500 0.000  0.80
Nb 0.155 0.655 0.500  -0.04
Nb 0.845 0.345 0.500  -0.04
Nb 0.345 0.155 0.500  -0.04

Offset from the most stable computed form (meV/atom): 364
Formation energy (eV/atom): 0.3728
Space-group type: P4/mbm (127)
Energy (Ha/atom): -0.367

=====

A plane-wave DFT calculation with GGA-PBE was carried out for a geometry-optimized K3Hg4Pt structure.

Cell: 7.011 7.011 7.011 Å, 109.47 109.47 109.47°
Atoms (fractional coordinates):
K 0.500 0.500 0.000
K 0.500 0.000 0.500
Hg 0.000 0.603 0.000
Hg 0.000 0.000 0.603
Pt 0.000 0.000 0.000
K 0.000 0.500 0.500
Hg 0.603 0.000 0.000
Hg 0.397 0.397 0.397

Offset from the most stable computed form (meV/atom): 114
Formation energy (eV/atom): -0.0824
Space-group type: I-43m (217)
Energy (Ha/atom): -0.051

=====

Number 1: M_tot 2.46 μB per formula unit. Number 2: M_tot 0.00 μB per formula unit. Number 3: M_tot 0.00 μB per formula unit. Number 4: M_tot 0.00 μB per formula unit. Number 5: M_tot 0.00 μB per formula unit. Number 6: M_tot 0.00 μB per formula unit. Number 7: M_tot 4.00 μB per formula unit. Number 8: M_tot 0.00 μB per formula unit. Number 9: M_tot 0.00 μB per formula unit. Number 10: M_tot 0.00 μB per formula unit. Number 11: M_tot 1.12 μB per formula unit. Number 12: M_tot 0.00 μB per formula unit.